(w)
6
Lattice="3.778 0.000 0.000 0.000 3.788 0.000 -1.889 0.000 5.653" Properties=species:S:1:pos:R:3 comment="TcRh5 | Alexandria via LeMat-Bulk | PBEsol | optimized geometry" rho_g_cm3=12.57 sg=Cmmm dos_at_fermi_per_ev_atom=1.0037 pbc="T T T"
Rh 0.000 0.000 1.825
Rh 0.000 1.894 3.781
Rh 1.889 1.894 1.872
Rh 1.889 0.000 3.828
Rh 0.000 1.894 0.000
Tc 1.889 0.000 0.000

***

(x)
6
Lattice="2.670 0.000 0.000 0.000 2.670 0.000 0.000 0.000 11.357" Properties=species:S:1:pos:R:3 comment="TcRh5 | Alexandria via LeMat-Bulk | PBEsol | optimized geometry" rho_g_cm3=12.56 sg=P4/mmm dos_at_fermi_per_ev_atom=1.0554 pbc="T T T"
Rh 1.335 1.335 9.496
Rh 0.000 0.000 7.539
Rh 1.335 1.335 1.861
Tc 1.335 1.335 5.679
Rh 0.000 0.000 3.818
Rh 0.000 0.000 0.000

***

(w) is the most stable structure shown above.